No. 1
A relaxed MnVGa2 crystal, computed with PBE-GGA.

Cell: 6.0325 6.0325 6.0325 Å, 90.00 90.00 90.00°
Space group F-43m (No. 216)
Symmetry-distinct sites (fractional):
Mn1 0.0000 0.0000 0.0000 [4 per cell]
V1 0.2500 0.2500 0.7500 [4 per cell]
Ga1 0.0000 0.0000 0.5000 [4 per cell]
Ga2 0.2500 0.2500 0.2500 [4 per cell]

Summary:
ΔE_f = 2 meV/atom

=====

No. 2
A relaxed Mn2V2Ga crystal, computed with PBE-GGA.

Cell: 4.1311 4.1311 4.6492 Å, 90.00 90.00 120.00°
Space group P-3m1 (No. 164)
Symmetry-distinct sites (fractional):
Mn1 0.3333 0.6667 0.1745 [2 per cell]
V1 0.3333 0.6667 0.6501 [2 per cell]
Ga1 0.0000 0.0000 0.0000 [1 per cell]

Summary:
ΔE to the lowest computed polymorph = 6.647 kcal/mol of atoms
ΔE_f = 87 meV/atom

=====

No. 3
A relaxed MnV3Ga crystal, computed with PBE-GGA.

Cell: 4.2944 4.2944 4.2944 Å, 90.00 90.00 90.00°
Space group Pm-3m (No. 221)
Symmetry-distinct sites (fractional):
Mn1 0.0000 0.0000 0.0000 [1 per cell]
V1 0.0000 0.0000 0.5000 [3 per cell]
Ga1 0.5000 0.5000 0.5000 [1 per cell]

Summary:
ΔE to the lowest computed polymorph = 17.556 kcal/mol of atoms
ΔE_f = 613 meV/atom

=====

No. 4
A relaxed Mn2V2Ga crystal, computed with PBE-GGA.

Cell: 12.1474 4.0136 2.5857 Å, 90.00 98.73 90.00°
Space group Cm (No. 8)
Symmetry-distinct sites (fractional):
Mn1 0.0000 0.0000 0.0000 [2 per cell]
Mn2 0.1871 0.0000 0.7585 [2 per cell]
V1 0.0989 0.5000 0.4000 [2 per cell]
V2 0.4010 0.0000 0.6297 [2 per cell]
Ga1 0.2972 0.5000 0.1142 [2 per cell]

Summary:
ΔE to the lowest computed polymorph = 1.884 kcal/mol of atoms
ΔE_f = -119 meV/atom

=====

No. 5
A relaxed Mn4V3Ga crystal, computed with PBE-GGA.

Cell: 2.9187 4.0736 8.1397 Å, 90.00 90.00 90.00°
Space group Pmmm (No. 47)
Symmetry-distinct sites (fractional):
Mn1 0.0000 0.0000 0.0000 [1 per cell]
Mn2 0.0000 0.0000 0.5000 [1 per cell]
Mn3 0.0000 0.5000 0.2418 [2 per cell]
V1 0.5000 0.0000 0.2553 [2 per cell]
V2 0.5000 0.5000 0.0000 [1 per cell]
Ga1 0.5000 0.5000 0.5000 [1 per cell]

Summary:
ΔE_f = -229 meV/atom

=====

No. 6
A relaxed Mn5V2Ga4 crystal, computed with PBE-GGA.

Cell: 6.5699 2.6248 8.6825 Å, 90.00 94.19 90.00°
Space group P2/m (No. 10)
Symmetry-distinct sites (fractional):
Mn1 0.0000 0.0000 0.0000 [1 per cell]
Mn2 0.0737 0.0000 0.2904 [2 per cell]
Mn3 0.3129 0.0000 0.8313 [2 per cell]
V1 0.4327 0.0000 0.3638 [2 per cell]
Ga1 0.2029 0.5000 0.5651 [2 per cell]
Ga2 0.3224 0.5000 0.0998 [2 per cell]

Summary:
ΔE_f = 36 meV/atom

=====

Number 1: energy -24.3 eV/f.u.. Number 2: energy -39.2 eV/f.u.. Number 3: energy -36.5 eV/f.u.. Number 4: energy -40.2 eV/f.u.. Number 5: energy -68.9 eV/f.u.. Number 6: energy -75.8 eV/f.u..